No. 1
## KTaTl2 (PBE-GGA)

Data for a relaxed KTaTl2 crystal.

## Properties
The excess energy over the best structure of this formula in the dataset comes out at 261 meV per atom. The value obtained for the energy of formation is 0.6808 eV/atom.

a b c (Å): 3.166 3.166 11.031
angles (deg): 90.00 90.00 103.81
Positions (direct):
K  0.000  0.000  0.000
Ta  0.500  0.500  0.723
Tl  0.000  0.000  0.517
Tl  0.500  0.500  0.279

No. 2
## ReHg2Sb (PBE-GGA)

Data for a relaxed ReHg2Sb crystal.

## Properties
The value obtained for the formation energy from raw total energies is 0.5795 eV/atom.

a b c (Å): 3.050 3.050 11.173
angles (deg): 90.00 90.00 116.74
Positions (direct):
Re  0.000  0.000  0.000
Hg  0.000  0.000  0.488
Hg  0.500  0.500  0.217
Sb  0.500  0.500  0.808

Please write out number 1 again, unchanged.
## KTaTl2 (PBE-GGA)

Data for a relaxed KTaTl2 crystal.

## Properties
The excess energy over the best structure of this formula in the dataset comes out at 261 meV per atom. The value obtained for the energy of formation is 0.6808 eV/atom.

a b c (Å): 3.166 3.166 11.031
angles (deg): 90.00 90.00 103.81
Positions (direct):
K  0.000  0.000  0.000
Ta  0.500  0.500  0.723
Tl  0.000  0.000  0.517
Tl  0.500  0.500  0.279

> What is the formula in the second record?

ReHg2Sb